[1]
## W2AuCl (GGA-PBE)

Data for a relaxed structure of W2AuCl.

abc: 3.030 3.030 6.825
angles: 90.00 90.00 90.00
Space group P4/mmm (No. 123)
Asymmetric unit:
W: 0.000 0.000 0.229
Au: 0.500 0.500 0.500
Cl: 0.500 0.500 0.000

Summary:
Energy above the most stable polymorph in this dataset ... 675 meV per atom
E_form (uncorrected) ... 0.994 eV per atom

***

[2]
## W2AuCl (GGA-PBE)

Data for a relaxed structure of W2AuCl.

abc: 2.814 4.123 5.742
angles: 90.00 90.16 90.00
Space group P2/m (No. 10)
Asymmetric unit:
W: 0.001 0.000 0.252
Au: 0.500 0.500 0.000
Cl: 0.000 0.500 0.500

Summary:
Energy above the most stable polymorph in this dataset ... 445 meV per atom
E_form (uncorrected) ... 0.763 eV per atom

***

D(E_F), respectively: 3.1; 2.8 states/eV/f.u..